## TmMnSeO2 (PBE+U)

Data for TmMnSeO2 after structural relaxation.

- size of the total moment (μB per cell) = 4.1
- crystal system = tetragonal
- total energy (eV for the cell shown) = -35.42

Lattice parameters (Å, degrees): 6.5161 6.5161 6.5161 146.35 146.35 48.33
Sites, in units of the cell vectors:
Tm  0.0000  0.0000  0.0000
Mn  0.6539  0.6539  0.0000
Se  0.3643  0.3643  0.0000
O  0.1022  0.6022  0.5000
O  0.6022  0.1022  0.5000